No. 1
WSeCl3: optimized geometry, PBE.

Cell: 4.7694 4.7694 4.7694 Å, 90.00 90.00 90.00°
Atoms (fractional coordinates):
Cl  0.5000  0.0000  0.0000
Cl  0.0000  0.0000  0.5000
Cl  0.0000  0.5000  0.0000
Se  0.5000  0.5000  0.5000
W  0.0000  0.0000  0.0000

Values from the calculation:
- polymorph energy (0 for the lowest one) (eV/atom) = 0.908
- crystal system = cubic
- uncorrected formation energy (eV per atom) = 0.337

No. 2
Ho5PtRh2: optimized geometry, PBE.

Cell: 7.4048 7.4048 8.6060 Å, 115.48 115.48 90.00°
Atoms (fractional coordinates):
Rh  0.6339  0.1339  0.0000
Rh  0.3661  0.8661  0.0000
Rh  0.8661  0.6339  0.0000
Rh  0.1339  0.3661  0.0000
Ho  0.0000  0.0000  0.0000
Ho  0.3109  0.8109  0.2841
Ho  0.8109  0.9732  0.2841
Ho  0.9732  0.4732  0.2841
Ho  0.0268  0.5268  0.7159
Ho  0.1891  0.0268  0.7159
Ho  0.6891  0.1891  0.7159
Ho  0.4732  0.3109  0.2841
Ho  0.5000  0.5000  0.0000
Ho  0.5268  0.6891  0.7159
Pt  0.2500  0.2500  0.5000
Pt  0.7500  0.7500  0.5000

Values from the calculation:
- crystal system = tetragonal
- uncorrected energy (eV/atom) = -6.2941

No. 3
SbIr4Ru: optimized geometry, PBE.

Cell: 5.2495 5.2495 5.2495 Å, 60.00 60.00 60.00°
Site moments in Bohr magnetons follow the coordinates.
Atoms (fractional coordinates):
Ir  0.8738  0.3754  0.3754  0.47
Ir  0.3754  0.3754  0.3754  0.47
Ir  0.3754  0.3754  0.8738  0.47
Ir  0.3754  0.8738  0.3754  0.47
Ru  0.7500  0.7500  0.7500  2.19
Sb  0.0000  0.0000  0.0000  0.04

Values from the calculation:
- crystal system = cubic
- uncorrected formation energy (eV per atom) = 0.627

No. 4
Nd3Sn5Pd6: optimized geometry, PBE.

Cell: 4.5167 9.6899 14.0214 Å, 90.00 90.00 90.00°
Atoms (fractional coordinates):
Nd  0.0000  0.2270  0.0000
Nd  0.0000  0.2458  0.6773
Nd  0.0000  0.2458  0.3227
Nd  0.5000  0.7542  0.1773
Nd  0.5000  0.7730  0.5000
Nd  0.5000  0.7542  0.8227
Sn  0.0000  0.5204  0.1170
Sn  0.0000  0.5204  0.8830
Sn  0.0000  0.8701  0.6715
Sn  0.5000  0.4796  0.3830
Sn  0.5000  0.4796  0.6170
Sn  0.5000  0.1979  0.5000
Sn  0.0000  0.8021  0.0000
Sn  0.0000  0.8701  0.3285
Sn  0.5000  0.1299  0.1715
Sn  0.5000  0.1299  0.8285
Pd  0.0000  0.5067  0.5000
Pd  0.0000  0.5929  0.3051
Pd  0.5000  0.4071  0.8051
Pd  0.5000  0.4071  0.1949
Pd  0.5000  0.4933  0.0000
Pd  0.5000  0.9806  0.0000
Pd  0.5000  0.0094  0.6459
Pd  0.0000  0.9906  0.8541
Pd  0.0000  0.0194  0.5000
Pd  0.5000  0.0094  0.3541
Pd  0.0000  0.5929  0.6949
Pd  0.0000  0.9906  0.1459

Values from the calculation:
- crystal system = orthorhombic
- uncorrected energy (eV/atom) = -5.4747

No. 5
TbZrTl2Se4: optimized geometry, PBE.

Cell: 3.9767 6.9878 8.3140 Å, 105.20 90.00 90.00°
Atoms (fractional coordinates):
Se  0.5000  0.2462  0.2048
Se  0.0000  0.2817  0.8009
Se  0.5000  0.7538  0.7952
Se  0.0000  0.7183  0.1991
Tl  0.0000  0.5000  0.5000
Tl  0.5000  0.0000  0.5000
Zr  0.5000  0.5000  0.0000
Tb  0.0000  0.0000  0.0000

Values from the calculation:
- crystal system = monoclinic
- uncorrected formation energy (eV per atom) = -1.152

No. 6
Ac2PmPd9: optimized geometry, PBE.

Cell: 5.4895 5.4895 9.7574 Å, 73.66 73.66 60.00°
Atoms (fractional coordinates):
Pd  0.3330  0.3330  0.0010
Pd  0.4167  0.4167  0.2476
Pd  0.4167  0.9189  0.2476
Pd  0.5000  0.5000  0.5000
Pd  0.0811  0.5833  0.7524
Pd  0.6670  0.6670  0.9990
Pd  0.5833  0.5833  0.7524
Pd  0.9189  0.4167  0.2476
Pd  0.5833  0.0811  0.7524
Pm  0.0000  0.0000  0.0000
Ac  0.8635  0.8635  0.4095
Ac  0.1365  0.1365  0.5905

Values from the calculation:
- polymorph energy (0 for the lowest one) (eV/atom) = 0.059
- crystal system = trigonal

No. 7
Tb2Zn5Pt4: optimized geometry, PBE.

Cell: 5.3134 5.3009 8.7287 Å, 81.23 72.28 59.92°
Atoms (fractional coordinates):
Tb  0.1444  0.0000  0.7111
Tb  0.8556  0.0000  0.2889
Pt  0.4690  0.3179  0.7442
Pt  0.7869  0.6821  0.7442
Pt  0.5310  0.6821  0.2558
Pt  0.2131  0.3179  0.2558
Zn  0.5000  0.0000  0.0000
Zn  0.0000  0.5000  0.0000
Zn  0.2500  0.5000  0.5000
Zn  0.5000  0.5000  0.0000
Zn  0.7500  0.5000  0.5000

Values from the calculation:
- crystal system = orthorhombic
- uncorrected energy (eV/atom) = -4.3412

No. 8
ScPaNbRu: optimized geometry, PBE.

Cell: 4.7825 4.7825 4.7825 Å, 60.00 60.00 60.00°
Atoms (fractional coordinates):
Ru  0.0000  0.0000  0.0000
Nb  0.5000  0.5000  0.5000
Pa  0.7500  0.7500  0.7500
Sc  0.2500  0.2500  0.2500

Values from the calculation:
- crystal system = cubic
- uncorrected energy (eV/atom) = -8.9991